Version one
! TlReAg2 PBE optimized geometry; values from VASP
&SYSTEM
  ibrav = 0, nat = 4, ntyp = 3
/
ATOMIC_SPECIES
Ag 107.87 Ag.upf
Re 186.21 Re.upf
Tl 204.38 Tl.upf
ATOMIC_POSITIONS crystal
Ag 0.0000 0.0000 0.0219
Ag 0.0000 0.0000 0.4781
Re 0.5000 0.5000 0.2500
Tl 0.5000 0.5000 0.7500
CELL_PARAMETERS angstrom
2.8298 -0.0699 0.0000
-0.8039 2.7141 0.0000
0.0000 0.0000 10.0026
! Magnetization ... 0.000 μB/cell
! Space-group type ... Cmmm, No. 65



Version two
! TlReAg2 PBE optimized geometry; values from VASP
&SYSTEM
  ibrav = 0, nat = 8, ntyp = 3
/
ATOMIC_SPECIES
Ag 107.87 Ag.upf
Tl 204.38 Tl.upf
Re 186.21 Re.upf
ATOMIC_POSITIONS crystal
Ag 0.6143 0.1250 0.2500
Ag 0.1357 0.6250 0.2500
Ag 0.8750 0.8643 0.7500
Ag 0.3750 0.3857 0.7500
Tl 0.0000 0.0000 0.0000
Tl 0.7500 0.2500 0.5000
Re 0.2500 0.7500 0.5000
Re 0.5000 0.5000 0.0000
CELL_PARAMETERS angstrom
3.9587 0.0000 0.0000
0.0000 3.9587 0.0000
1.9794 1.9794 10.3411
! Magnetization ... 3.049 μB/cell
! Space-group type ... I-42d, No. 122



Which of them is most stable? Easy: version one.



Version one
! VReAg2 PBE optimized geometry; values from VASP
&SYSTEM
  ibrav = 0, nat = 4, ntyp = 3
/
ATOMIC_SPECIES
Ag 107.87 Ag.upf
V 50.94 V.upf
Re 186.21 Re.upf
ATOMIC_POSITIONS crystal
Ag 0.7500 0.7500 0.7500
Ag 0.2500 0.2500 0.2500
V 0.0000 0.0000 0.0000
Re 0.5000 0.5000 0.5000
CELL_PARAMETERS angstrom
-1.4509 2.0170 3.7892
-2.1417 3.9863 -0.2327
-4.4381 0.2422 0.8809
! Magnetization ... 0.702 μB/cell
! Space-group type ... Fm-3m, No. 225



Version two
! VReAg2 PBE optimized geometry; values from VASP
&SYSTEM
  ibrav = 0, nat = 8, ntyp = 3
/
ATOMIC_SPECIES
Ag 107.87 Ag.upf
Re 186.21 Re.upf
V 50.94 V.upf
ATOMIC_POSITIONS crystal
Ag 0.3750 0.3739 0.7500
Ag 0.6261 0.1250 0.2500
Ag 0.8750 0.8761 0.7500
Ag 0.1239 0.6250 0.2500
Re 0.7500 0.2500 0.5000
Re 0.0000 0.0000 0.0000
V 0.2500 0.7500 0.5000
V 0.5000 0.5000 0.0000
CELL_PARAMETERS angstrom
3.6588 0.0000 0.0000
0.0000 3.6588 0.0000
1.8294 1.8294 10.1155
! Magnetization ... 0.316 μB/cell
! Space-group type ... I-42d, No. 122



Which of them is most stable? Easy: version two.



Version one
! V2ReAg PBE optimized geometry; values from VASP
&SYSTEM
  ibrav = 0, nat = 4, ntyp = 3
/
ATOMIC_SPECIES
Re 186.21 Re.upf
V 50.94 V.upf
Ag 107.87 Ag.upf
ATOMIC_POSITIONS crystal
Re 0.5000 0.5000 0.0000
V 0.0000 0.0000 0.2231
V 0.0000 0.0000 0.7769
Ag 0.5000 0.5000 0.5000
CELL_PARAMETERS angstrom
3.0753 0.0000 0.0000
0.0000 3.0753 0.0000
0.0000 0.0000 6.3549
! Magnetization ... 0.000 μB/cell
! Space-group type ... P4/mmm, No. 123



Version two
! V2ReAg PBE optimized geometry; values from VASP
&SYSTEM
  ibrav = 0, nat = 8, ntyp = 3
/
ATOMIC_SPECIES
V 50.94 V.upf
Re 186.21 Re.upf
Ag 107.87 Ag.upf
ATOMIC_POSITIONS crystal
V 0.0992 0.6250 0.2500
V 0.6508 0.1250 0.2500
V 0.8750 0.9008 0.7500
V 0.3750 0.3492 0.7500
Re 0.7500 0.2500 0.5000
Re 0.0000 0.0000 0.0000
Ag 0.5000 0.5000 0.0000
Ag 0.2500 0.7500 0.5000
CELL_PARAMETERS angstrom
6.9383 0.0000 0.0000
0.0000 6.9383 0.0000
3.4691 3.4691 2.7053
! Magnetization ... 0.003 μB/cell
! Space-group type ... I-42d, No. 122



Which of them is most stable? Easy: version one.



Version one
! VReAg3 PBE optimized geometry; values from VASP
&SYSTEM
  ibrav = 0, nat = 5, ntyp = 3
/
ATOMIC_SPECIES
Ag 107.87 Ag.upf
Re 186.21 Re.upf
V 50.94 V.upf
ATOMIC_POSITIONS crystal
Ag 0.0000 0.5000 0.0000
Ag 0.0000 0.0000 0.5000
Ag 0.5000 0.0000 0.0000
Re 0.5000 0.5000 0.5000
V 0.0000 0.0000 0.0000
CELL_PARAMETERS angstrom
4.8501 0.0000 0.0000
0.0000 4.8501 0.0000
0.0000 0.0000 4.8501
! Magnetization ... 6.648 μB/cell
! Space-group type ... Pm-3m, No. 221



Version two
! VReAg3 PBE optimized geometry; values from VASP
&SYSTEM
  ibrav = 0, nat = 5, ntyp = 3
/
ATOMIC_SPECIES
Ag 107.87 Ag.upf
V 50.94 V.upf
Re 186.21 Re.upf
ATOMIC_POSITIONS crystal
Ag 0.0000 0.5000 0.0000
Ag 0.0000 0.0000 0.5000
Ag 0.5000 0.0000 0.0000
V 0.5000 0.5000 0.5000
Re 0.0000 0.0000 0.0000
CELL_PARAMETERS angstrom
-3.1814 -3.8864 -0.1129
1.5306 -1.3860 4.5797
-3.5740 2.8658 2.0618
! Magnetization ... 1.672 μB/cell
! Space-group type ... Pm-3m, No. 221



Which of them is most stable? Easy: version two.



Version one
! VRe2Ag PBE optimized geometry; values from VASP
&SYSTEM
  ibrav = 0, nat = 8, ntyp = 3
/
ATOMIC_SPECIES
Ag 107.87 Ag.upf
Re 186.21 Re.upf
V 50.94 V.upf
ATOMIC_POSITIONS crystal
Ag 0.7500 0.2500 0.5000
Ag 0.0000 0.0000 0.0000
Re 0.3750 0.4232 0.7500
Re 0.8750 0.8268 0.7500
Re 0.5768 0.1250 0.2500
Re 0.1732 0.6250 0.2500
V 0.2500 0.7500 0.5000
V 0.5000 0.5000 0.0000
CELL_PARAMETERS angstrom
3.8097 0.0000 0.0000
0.0000 3.8097 0.0000
1.9049 1.9049 9.4249
! Magnetization ... 3.468 μB/cell
! Space-group type ... I-42d, No. 122



Version two
! VRe2Ag PBE optimized geometry; values from VASP
&SYSTEM
  ibrav = 0, nat = 4, ntyp = 3
/
ATOMIC_SPECIES
Re 186.21 Re.upf
Ag 107.87 Ag.upf
V 50.94 V.upf
ATOMIC_POSITIONS crystal
Re 0.2500 0.2500 0.2500
Re 0.7500 0.7500 0.7500
Ag 0.5000 0.5000 0.5000
V 0.0000 0.0000 0.0000
CELL_PARAMETERS angstrom
0.0000 3.1147 3.1147
3.1147 0.0000 3.1147
3.1147 3.1147 0.0000
! Magnetization ... 0.000 μB/cell
! Space-group type ... Fm-3m, No. 225



Which of them is most stable? Easy: version two.



Version one
! Re2Ag2W PBE optimized geometry; values from VASP
&SYSTEM
  ibrav = 0, nat = 5, ntyp = 3
/
ATOMIC_SPECIES
Ag 107.87 Ag.upf
Re 186.21 Re.upf
W 183.84 W.upf
ATOMIC_POSITIONS crystal
Ag 0.5962 0.5962 0.8077
Ag 0.4038 0.4038 0.1923
Re 0.2500 0.7500 0.5000
Re 0.7500 0.2500 0.5000
W 0.0000 0.0000 0.0000
CELL_PARAMETERS angstrom
-2.1825 1.4099 2.4500
1.5598 -1.9806 2.5293
4.2370 4.7618 3.6370
! Magnetization ... 0.002 μB/cell
! Space-group type ... I4/mmm, No. 139



Version two
! Re2Ag2W PBE optimized geometry; values from VASP
&SYSTEM
  ibrav = 0, nat = 10, ntyp = 3
/
ATOMIC_SPECIES
W 183.84 W.upf
Re 186.21 Re.upf
Ag 107.87 Ag.upf
ATOMIC_POSITIONS crystal
W 0.5000 0.5000 0.0000
W 0.0000 0.0000 0.0000
Re 0.8210 0.3210 0.5000
Re 0.6790 0.8210 0.5000
Re 0.1790 0.6790 0.5000
Re 0.3210 0.1790 0.5000
Ag 0.6200 0.1200 0.0000
Ag 0.1200 0.3800 0.0000
Ag 0.8800 0.6200 0.0000
Ag 0.3800 0.8800 0.0000
CELL_PARAMETERS angstrom
7.8235 0.0000 0.0000
0.0000 7.8235 0.0000
0.0000 0.0000 2.7146
! Magnetization ... 0.000 μB/cell
! Space-group type ... P4/mbm, No. 127



Which of them is most stable? Easy: version two.



Version one
! ReAgW2 PBE optimized geometry; values from VASP
&SYSTEM
  ibrav = 0, nat = 4, ntyp = 3
/
ATOMIC_SPECIES
Re 186.21 Re.upf
W 183.84 W.upf
Ag 107.87 Ag.upf
ATOMIC_POSITIONS crystal
Re 0.5000 0.7063 0.7695
W 0.0000 0.9754 0.9830
W 0.5000 0.2252 0.2564
Ag 0.0000 0.5932 0.4911
CELL_PARAMETERS angstrom
4.5505 0.0000 0.0000
0.0000 2.6934 -0.0407
0.0000 0.9789 5.2506
! Magnetization ... 0.000 μB/cell
! Space-group type ... Pm, No. 6



Version two
! ReAgW2 PBE optimized geometry; values from VASP
&SYSTEM
  ibrav = 0, nat = 4, ntyp = 3
/
ATOMIC_SPECIES
W 183.84 W.upf
Re 186.21 Re.upf
Ag 107.87 Ag.upf
ATOMIC_POSITIONS crystal
W 0.5000 0.5000 0.0000
W 0.0000 0.0000 0.0000
Re 0.0000 0.5000 0.5000
Ag 0.5000 0.0000 0.5000
CELL_PARAMETERS angstrom
-0.6925 2.1021 3.3172
-3.7541 0.6329 -1.1848
-1.1522 -3.3321 1.8710
! Magnetization ... 0.000 μB/cell
! Space-group type ... P4/mmm, No. 123



Version three
! ReAgW2 PBE optimized geometry; values from VASP
&SYSTEM
  ibrav = 0, nat = 4, ntyp = 3
/
ATOMIC_SPECIES
Re 186.21 Re.upf
W 183.84 W.upf
Ag 107.87 Ag.upf
ATOMIC_POSITIONS crystal
Re 0.7500 0.7500 0.7500
W 0.4953 0.4953 0.4953
W 0.0047 0.0047 0.0047
Ag 0.2500 0.2500 0.2500
CELL_PARAMETERS angstrom
-1.7545 2.6009 -9.1051
-4.1529 1.2098 -8.6044
-3.9183 3.9211 -7.8752
! Magnetization ... 0.000 μB/cell
! Space-group type ... R-3m, No. 166



Which of them is most stable? Easy: version three.



Version one
! ReAgW2 PBE optimized geometry; values from VASP
&SYSTEM
  ibrav = 0, nat = 8, ntyp = 3
/
ATOMIC_SPECIES
W 183.84 W.upf
Ag 107.87 Ag.upf
Re 186.21 Re.upf
ATOMIC_POSITIONS crystal
W 0.6603 0.1250 0.2500
W 0.3750 0.3397 0.7500
W 0.8750 0.9103 0.7500
W 0.0897 0.6250 0.2500
Ag 0.5000 0.5000 0.0000
Ag 0.2500 0.7500 0.5000
Re 0.7500 0.2500 0.5000
Re 0.0000 0.0000 0.0000
CELL_PARAMETERS angstrom
-2.9893 1.9138 6.3785
-2.1882 -6.8857 1.0405
-0.2472 -3.0392 4.9729
! Magnetization ... 0.000 μB/cell
! Space-group type ... I-42d, No. 122



Version two
! ReAgW2 PBE optimized geometry; values from VASP
&SYSTEM
  ibrav = 0, nat = 4, ntyp = 3
/
ATOMIC_SPECIES
W 183.84 W.upf
Ag 107.87 Ag.upf
Re 186.21 Re.upf
ATOMIC_POSITIONS crystal
W 0.0000 0.0000 0.0000
W 0.5000 0.5000 0.0000
Ag 0.2500 0.7500 0.5000
Re 0.7500 0.2500 0.5000
CELL_PARAMETERS angstrom
-0.4377 -3.7444 -3.0705
-1.4682 -3.8956 2.5118
-1.7538 4.5304 -0.2010
! Magnetization ... 0.000 μB/cell
! Space-group type ... I4/mmm, No. 139



Version three
! ReAgW2 PBE optimized geometry; values from VASP
&SYSTEM
  ibrav = 0, nat = 4, ntyp = 3
/
ATOMIC_SPECIES
W 183.84 W.upf
Ag 107.87 Ag.upf
Re 186.21 Re.upf
ATOMIC_POSITIONS crystal
W 0.0000 0.0000 0.5219
W 0.0000 0.0000 0.9781
Ag 0.5000 0.5000 0.2500
Re 0.5000 0.5000 0.7500
CELL_PARAMETERS angstrom
2.8413 0.0000 0.0000
0.0000 4.0067 0.0000
0.0000 0.0000 5.6909
! Magnetization ... 0.000 μB/cell
! Space-group type ... Pmmm, No. 47



Version four
! ReAgW2 PBE optimized geometry; values from VASP
&SYSTEM
  ibrav = 0, nat = 4, ntyp = 3
/
ATOMIC_SPECIES
Ag 107.87 Ag.upf
W 183.84 W.upf
Re 186.21 Re.upf
ATOMIC_POSITIONS crystal
Ag 0.5000 0.5000 0.5000
W 0.0000 0.0000 0.0000
W 0.2500 0.2500 0.2500
Re 0.7500 0.7500 0.7500
CELL_PARAMETERS angstrom
4.5049 0.0000 0.0000
2.2524 3.9013 0.0000
2.2524 1.3004 3.6782
! Magnetization ... 0.000 μB/cell
! Space-group type ... F-43m, No. 216



Which of them is most stable? Easy: version three.



Version one
! ReAgW2 PBE optimized geometry; values from VASP
&SYSTEM
  ibrav = 0, nat = 4, ntyp = 3
/
ATOMIC_SPECIES
Re 186.21 Re.upf
Ag 107.87 Ag.upf
W 183.84 W.upf
ATOMIC_POSITIONS crystal
Re 0.2340 0.7340 0.5000
Ag 0.4997 0.4997 0.0000
W 0.0016 0.0016 0.0000
W 0.7649 0.2649 0.5000
CELL_PARAMETERS angstrom
5.3074 0.0013 0.0144
2.4372 4.7147 -0.0144
-3.4005 -3.1327 2.6060
! Magnetization ... 0.000 μB/cell
! Space-group type ... Imm2, No. 44



Version two
! ReAgW2 PBE optimized geometry; values from VASP
&SYSTEM
  ibrav = 0, nat = 4, ntyp = 3
/
ATOMIC_SPECIES
Ag 107.87 Ag.upf
Re 186.21 Re.upf
W 183.84 W.upf
ATOMIC_POSITIONS crystal
Ag 0.5000 0.5000 0.2500
Re 0.5000 0.5000 0.7500
W 0.0000 0.0000 0.5131
W 0.0000 0.0000 0.9869
CELL_PARAMETERS angstrom
-0.7241 -0.1403 2.6290
-2.1689 -0.6062 -1.5441
2.3642 -8.9066 0.1757
! Magnetization ... 0.004 μB/cell
! Space-group type ... Cmmm, No. 65



Version three
! ReAgW2 PBE optimized geometry; values from VASP
&SYSTEM
  ibrav = 0, nat = 4, ntyp = 3
/
ATOMIC_SPECIES
Re 186.21 Re.upf
W 183.84 W.upf
Ag 107.87 Ag.upf
ATOMIC_POSITIONS crystal
Re 0.5000 0.5000 0.0000
W 0.5000 0.0000 0.5000
W 0.0000 0.0000 0.0000
Ag 0.0000 0.5000 0.5000
CELL_PARAMETERS angstrom
5.4560 -0.0272 -0.0916
-2.4224 4.6810 0.0266
0.6111 0.7442 2.5094
! Magnetization ... 0.000 μB/cell
! Space-group type ... C2/m, No. 12



Version four
! ReAgW2 PBE optimized geometry; values from VASP
&SYSTEM
  ibrav = 0, nat = 4, ntyp = 3
/
ATOMIC_SPECIES
Re 186.21 Re.upf
Ag 107.87 Ag.upf
W 183.84 W.upf
ATOMIC_POSITIONS crystal
Re 0.7500 0.2500 0.5000
Ag 0.5000 0.5000 0.0000
W 0.2500 0.7500 0.5000
W 0.0000 0.0000 0.0000
CELL_PARAMETERS angstrom
-3.2115 2.1502 -2.9776
-4.4168 -1.9149 0.7925
3.3106 1.8596 3.0635
! Magnetization ... 0.000 μB/cell
! Space-group type ... I-4m2, No. 119



Which of them is most stable? Easy: version two.



Version one
! ReAgW2 PBE optimized geometry; values from VASP
&SYSTEM
  ibrav = 0, nat = 4, ntyp = 3
/
ATOMIC_SPECIES
Re 186.21 Re.upf
W 183.84 W.upf
Ag 107.87 Ag.upf
ATOMIC_POSITIONS crystal
Re 0.2500 0.7500 0.5000
W 0.0163 0.0163 0.0000
W 0.4837 0.4837 0.0000
Ag 0.7500 0.2500 0.5000
CELL_PARAMETERS angstrom
5.2318 -0.0146 -0.0115
2.3365 4.6811 0.0115
-3.3586 -3.0235 2.6364
! Magnetization ... 0.000 μB/cell
! Space-group type ... Immm, No. 71



Version two
! ReAgW2 PBE optimized geometry; values from VASP
&SYSTEM
  ibrav = 0, nat = 4, ntyp = 3
/
ATOMIC_SPECIES
Ag 107.87 Ag.upf
W 183.84 W.upf
Re 186.21 Re.upf
ATOMIC_POSITIONS crystal
Ag 0.0000 0.0000 0.0000
W 0.7500 0.7500 0.7500
W 0.2500 0.2500 0.2500
Re 0.5000 0.5000 0.5000
CELL_PARAMETERS angstrom
-1.1565 2.7221 3.3996
-3.8296 2.3652 -0.2104
-3.4642 -1.0791 2.6719
! Magnetization ... 0.000 μB/cell
! Space-group type ... Fm-3m, No. 225



Version three
! ReAgW2 PBE optimized geometry; values from VASP
&SYSTEM
  ibrav = 0, nat = 4, ntyp = 3
/
ATOMIC_SPECIES
W 183.84 W.upf
Ag 107.87 Ag.upf
Re 186.21 Re.upf
ATOMIC_POSITIONS crystal
W 0.5000 0.5000 0.2380
W 0.0000 0.0000 0.9975
Ag 0.0000 0.0000 0.5006
Re 0.5000 0.5000 0.7640
CELL_PARAMETERS angstrom
2.7294 -0.0097 0.0000
-0.8919 2.5796 0.0000
0.0000 0.0000 9.2751
! Magnetization ... 0.000 μB/cell
! Space-group type ... Cmm2, No. 35



Which of them is most stable? Easy: version three.



Version one
! ReAgW2 PBE optimized geometry; values from VASP
&SYSTEM
  ibrav = 0, nat = 4, ntyp = 3
/
ATOMIC_SPECIES
W 183.84 W.upf
Re 186.21 Re.upf
Ag 107.87 Ag.upf
ATOMIC_POSITIONS crystal
W 0.0000 0.5329 0.5137
W 0.0000 0.9671 0.9863
Re 0.5000 0.7500 0.7500
Ag 0.5000 0.2500 0.2500
CELL_PARAMETERS angstrom
4.3242 0.0000 0.0000
0.0000 2.7153 0.0283
0.0000 1.7308 5.5169
! Magnetization ... 0.000 μB/cell
! Space-group type ... P2/m, No. 10



Version two
! ReAgW2 PBE optimized geometry; values from VASP
&SYSTEM
  ibrav = 0, nat = 4, ntyp = 3
/
ATOMIC_SPECIES
Ag 107.87 Ag.upf
W 183.84 W.upf
Re 186.21 Re.upf
ATOMIC_POSITIONS crystal
Ag 0.5000 0.0000 0.5000
W 0.0000 0.0000 0.0000
W 0.5000 0.5000 0.0000
Re 0.0000 0.5000 0.5000
CELL_PARAMETERS angstrom
-1.9401 -3.7779 -2.5757
0.7399 -1.2374 4.7531
-2.5586 0.8853 0.6288
! Magnetization ... 0.000 μB/cell
! Space-group type ... Cmmm, No. 65



Which of them is most stable? Easy: version one.